1.
A relaxed structure of TbCe4Sb5, computed with GGA-PBE.

Polymorph energy (0 for the lowest one) ... 3 meV per atom
Uncorrected formation energy ... -10.6 eV per formula unit
Electronic total energy ... -5.956 eV/atom
Calculated volume ... 636.1 Å³ per cell

a b c (Å): 4.4833 4.4833 31.6486
angles (deg): 90.00 90.00 90.00
Closest atoms and distances in Å follow each position.
Space group I4/mmm (No. 139)
Inequivalent atoms, fractional coordinates:
Tb 0.0000 0.0000 0.0000  6 Sb 3.13-3.17
Ce 0.0000 0.0000 0.1994  6 Sb 3.17-3.19
Ce 0.0000 0.0000 0.4008  6 Sb 3.14-3.19
Sb 0.0000 0.0000 0.0988  1 Tb 3.13, 5 Ce 3.17-3.19
Sb 0.0000 0.0000 0.3001  6 Ce 3.17-3.19
Sb 0.0000 0.0000 0.5000  2 Ce 3.14, 4 Tb 3.17

=====

2.
A relaxed structure of SrZr2V2, computed with GGA-PBE.

Polymorph energy (0 for the lowest one) ... 163 meV per atom
Formation energy ... 0.67 eV/atom
Electronic total energy ... -6.731 eV/atom
Calculated volume ... 254.3 Å³ per cell

a b c (Å): 4.4762 4.4762 12.6897
angles (deg): 90.00 90.00 90.00
Closest atoms and distances in Å follow each position.
Space group I4/mmm (No. 139)
Inequivalent atoms, fractional coordinates:
Sr 0.0000 0.0000 0.0000  8 V 3.46
Zr 0.0000 0.5000 0.2500  4 V 2.86, 4 Zr 3.17
V 0.0000 0.0000 0.3903  1 V 2.78, 4 Zr 2.86

=====

3.
A relaxed structure of TcC2I, computed with GGA-PBE.

Polymorph energy (0 for the lowest one) ... 0 meV per atom
Uncorrected formation energy ... 5.5 eV per formula unit
Electronic total energy ... -6.212 eV/atom
Calculated volume ... 309.6 Å³ per cell

a b c (Å): 5.7777 5.7777 9.2733
angles (deg): 90.00 90.00 90.00
Closest atoms and distances in Å follow each position.
Space group I-42d (No. 122)
Inequivalent atoms, fractional coordinates:
Tc 0.0000 0.0000 0.0000  4 C 1.90
C 0.0771 0.2500 0.1250  2 Tc 1.90
I 0.0000 0.0000 0.5000  4 C 3.07